Record 1
DFT (PBE-GGA) results for crystalline SiMoOs2 at its relaxed geometry.

Properties
- Space-group type: R-3m
- Total DFT energy (no corrections): -38.7 eV per formula unit

abc: 8.552 8.552 8.552
angles: 18.85 18.85 18.85
Fractional coordinates of all 4 atoms:
Si1 0.000 0.000 0.000
Mo1 0.500 0.500 0.500
Os1 0.255 0.255 0.255
Os2 0.745 0.745 0.745

=====

Record 2
DFT (PBE-GGA) results for crystalline SiMoOs2 at its relaxed geometry.

Properties
- Space-group type: I4/mmm
- Total DFT energy (no corrections): -38.5 eV per formula unit

abc: 4.579 4.579 4.579
angles: 128.45 128.45 75.90
Fractional coordinates of all 4 atoms:
Si1 0.000 0.000 0.000
Mo1 0.500 0.500 0.000
Os1 0.250 0.750 0.500
Os2 0.750 0.250 0.500

=====

Record 3
DFT (PBE-GGA) results for crystalline SiMoOs2 at its relaxed geometry.

Properties
- Space-group type: Imm2
- Total DFT energy (no corrections): -39.0 eV per formula unit

abc: 5.128 5.128 5.128
angles: 146.88 129.25 61.95
Fractional coordinates of all 4 atoms:
Si1 0.000 0.000 0.000
Mo1 0.233 0.733 0.500
Os1 0.508 0.508 0.000
Os2 0.781 0.281 0.500

=====

Record 4
DFT (PBE-GGA) results for crystalline SiMoOs at its relaxed geometry.

Properties
- Space-group type: Pnma
- Total DFT energy (no corrections): -28.1 eV per formula unit

abc: 6.683 2.868 8.839
angles: 90.00 90.00 90.00
Fractional coordinates of all 12 atoms:
Si1 0.136 0.250 0.219
Si2 0.364 0.750 0.719
Si3 0.636 0.250 0.281
Si4 0.864 0.750 0.781
Mo1 0.163 0.250 0.923
Mo2 0.337 0.750 0.423
Mo3 0.663 0.250 0.577
Mo4 0.837 0.750 0.077
Os1 0.079 0.250 0.612
Os2 0.421 0.750 0.112
Os3 0.579 0.250 0.888
Os4 0.921 0.750 0.388

=====

Record 5
DFT (PBE-GGA) results for crystalline SiMoOs2 at its relaxed geometry.

Properties
- Space-group type: Cmmm
- Total DFT energy (no corrections): -38.3 eV per formula unit

abc: 4.559 4.559 2.832
angles: 90.00 90.00 103.41
Fractional coordinates of all 4 atoms:
Si1 0.000 0.000 0.000
Mo1 0.500 0.500 0.000
Os1 0.000 0.500 0.500
Os2 0.500 0.000 0.500

=====

Record 6
DFT (PBE-GGA) results for crystalline SiMoOs2 at its relaxed geometry.

Properties
- Space-group type: R3m
- Total DFT energy (no corrections): -38.6 eV per formula unit

abc: 8.746 8.746 8.746
angles: 18.25 18.25 18.25
Fractional coordinates of all 4 atoms:
Si1 0.000 0.000 0.000
Mo1 0.750 0.750 0.750
Os1 0.257 0.257 0.257
Os2 0.502 0.502 0.502

=====

Record 7
DFT (PBE-GGA) results for crystalline SiMoOs2 at its relaxed geometry.

Properties
- Space-group type: C2/m
- Total DFT energy (no corrections): -38.5 eV per formula unit

abc: 4.504 4.504 4.831
angles: 96.71 96.71 36.34
Fractional coordinates of all 4 atoms:
Si1 0.000 0.000 0.000
Mo1 0.500 0.500 0.500
Os1 0.250 0.250 0.764
Os2 0.750 0.750 0.236

=====

Record 8
DFT (PBE-GGA) results for crystalline SiMoOs at its relaxed geometry.

Properties
- Space-group type: I4mm
- Total DFT energy (no corrections): -28.3 eV per formula unit

abc: 5.342 5.342 5.342
angles: 148.38 148.38 45.33
Fractional coordinates of all 3 atoms:
Si1 0.000 0.000 0.000
Mo1 0.669 0.669 0.000
Os1 0.356 0.356 0.000

=====

Record 9
DFT (PBE-GGA) results for crystalline SmSi2MoOs at its relaxed geometry.

Properties
- Space-group type: I-4m2
- Total DFT energy (no corrections): -40.3 eV per formula unit

abc: 5.980 5.980 5.980
angles: 139.67 139.67 58.36
Fractional coordinates of all 5 atoms:
Sm1 0.000 0.000 0.000
Si1 0.380 0.380 0.000
Si2 0.620 0.620 0.000
Mo1 0.250 0.750 0.500
Os1 0.750 0.250 0.500

=====

Record 10
DFT (PBE-GGA) results for crystalline TaSiMoOs at its relaxed geometry.

Properties
- Space-group type: F-43m
- Total DFT energy (no corrections): -40.3 eV per formula unit

abc: 4.398 4.398 4.398
angles: 60.00 60.00 60.00
Fractional coordinates of all 4 atoms:
Ta1 0.000 0.000 0.000
Si1 0.500 0.500 0.500
Mo1 0.250 0.250 0.250
Os1 0.750 0.750 0.750

=====

Record 11
DFT (PBE-GGA) results for crystalline TbSi2MoOs at its relaxed geometry.

Properties
- Space-group type: I-4m2
- Total DFT energy (no corrections): -40.2 eV per formula unit

abc: 5.937 5.937 5.937
angles: 139.60 139.60 58.46
Fractional coordinates of all 5 atoms:
Tb1 0.000 0.000 0.000
Si1 0.382 0.382 0.000
Si2 0.618 0.618 0.000
Mo1 0.250 0.750 0.500
Os1 0.750 0.250 0.500

=====

Record 12
DFT (PBE-GGA) results for crystalline SiTc2MoOs at its relaxed geometry.

Properties
- Space-group type: P4/mmm
- Total DFT energy (no corrections): -39.7 eV per formula unit

abc: 4.656 4.656 4.436
angles: 90.00 90.00 90.00
Fractional coordinates of all 5 atoms:
Si1 0.000 0.000 0.000
Tc1 0.000 0.500 0.500
Tc2 0.500 0.000 0.500
Mo1 0.500 0.500 0.000
Os1 0.000 0.000 0.500

=====

Record 13
DFT (PBE-GGA) results for crystalline SiTcMoOs at its relaxed geometry.

Properties
- Space-group type: F-43m
- Total DFT energy (no corrections): -38.3 eV per formula unit

abc: 4.313 4.313 4.313
angles: 60.00 60.00 60.00
Fractional coordinates of all 4 atoms:
Si1 0.000 0.000 0.000
Tc1 0.750 0.750 0.750
Mo1 0.500 0.500 0.500
Os1 0.250 0.250 0.250

=====

Record 14
DFT (PBE-GGA) results for crystalline ThSi2MoOs at its relaxed geometry.

Properties
- Space-group type: I-4m2
- Total DFT energy (no corrections): -43.2 eV per formula unit

abc: 5.861 5.861 5.861
angles: 137.63 137.63 61.47
Fractional coordinates of all 5 atoms:
Th1 0.000 0.000 0.000
Si1 0.375 0.375 0.000
Si2 0.625 0.625 0.000
Mo1 0.250 0.750 0.500
Os1 0.750 0.250 0.500

=====

Record 15
DFT (PBE-GGA) results for crystalline YSi2MoOs at its relaxed geometry.

Properties
- Space-group type: I-4m2
- Total DFT energy (no corrections): -42.1 eV per formula unit

abc: 5.933 5.933 5.933
angles: 139.60 139.60 58.46
Fractional coordinates of all 5 atoms:
Y1 0.000 0.000 0.000
Si1 0.382 0.382 0.000
Si2 0.618 0.618 0.000
Mo1 0.250 0.750 0.500
Os1 0.750 0.250 0.500

=====

Record 16
DFT (PBE-GGA) results for crystalline SmMoOs at its relaxed geometry.

Properties
- Energy above the most stable polymorph in this dataset: 0 meV per atom
- Space-group type: Imma
- Energy of formation: -61 meV/atom

abc: 5.450 5.450 5.450
angles: 121.18 115.53 92.93
Fractional coordinates of all 6 atoms:
Sm1 0.380 0.130 0.250
Sm2 0.620 0.870 0.750
Mo1 0.000 0.000 0.500
Mo2 0.000 0.500 0.000
Os1 0.000 0.500 0.500
Os2 0.500 0.500 0.000

=====

Record 17
DFT (PBE-GGA) results for crystalline SmMoOs at its relaxed geometry.

Properties
- Energy above the most stable polymorph in this dataset: 329 meV per atom
- Space-group type: Fddd
- Energy of formation: 268 meV/atom

abc: 11.077 10.450 5.223
angles: 82.74 69.37 27.89
Fractional coordinates of all 12 atoms:
Sm1 0.045 0.705 0.045
Sm2 0.295 0.955 0.295
Sm3 0.705 0.045 0.705
Sm4 0.955 0.295 0.955
Mo1 0.289 0.289 0.461
Mo2 0.461 0.461 0.289
Mo3 0.539 0.539 0.711
Mo4 0.711 0.711 0.539
Os1 0.000 0.000 0.250
Os2 0.000 0.000 0.750
Os3 0.250 0.250 0.000
Os4 0.750 0.750 0.000

=====

Record 18
DFT (PBE-GGA) results for crystalline SnMoOs2 at its relaxed geometry.

Properties
- Space-group type: I-42d
- Energy of formation: 1268 meV/atom

abc: 6.910 6.910 6.910
angles: 128.79 128.79 75.35
Fractional coordinates of all 8 atoms:
Sn1 0.000 0.000 0.000
Sn2 0.750 0.250 0.500
Mo1 0.250 0.750 0.500
Mo2 0.500 0.500 0.000
Os1 0.152 0.625 0.027
Os2 0.375 0.402 0.527
Os3 0.598 0.125 0.973
Os4 0.875 0.848 0.473

=====

Record 19
DFT (PBE-GGA) results for crystalline SnMoOs3 at its relaxed geometry.

Properties
- Energy above the most stable polymorph in this dataset: 0 meV per atom
- Space-group type: Pm-3m
- Energy of formation: 2002 meV/atom

abc: 4.729 4.729 4.729
angles: 90.00 90.00 90.00
Fractional coordinates of all 5 atoms:
Sn1 0.000 0.000 0.000
Mo1 0.500 0.500 0.500
Os1 0.000 0.500 0.500
Os2 0.500 0.000 0.500
Os3 0.500 0.500 0.000

=====

Record 20
DFT (PBE-GGA) results for crystalline SnMo3Os at its relaxed geometry.

Properties
- Energy above the most stable polymorph in this dataset: 0 meV per atom
- Space-group type: Pm-3m
- Energy of formation: 1423 meV/atom

abc: 4.776 4.776 4.776
angles: 90.00 90.00 90.00
Fractional coordinates of all 5 atoms:
Sn1 0.000 0.000 0.000
Mo1 0.000 0.500 0.500
Mo2 0.500 0.000 0.500
Mo3 0.500 0.500 0.000
Os1 0.500 0.500 0.500

=====

Record 21
DFT (PBE-GGA) results for crystalline SnMoOs3 at its relaxed geometry.

Properties
- Energy above the most stable polymorph in this dataset: 873 meV per atom
- Space-group type: Pm-3m
- Energy of formation: 2875 meV/atom

abc: 4.719 4.719 4.719
angles: 90.00 90.00 90.00
Fractional coordinates of all 5 atoms:
Sn1 0.000 0.000 0.000
Mo1 0.500 0.500 0.500
Os1 0.000 0.000 0.500
Os2 0.000 0.500 0.000
Os3 0.500 0.000 0.000

=====

Record 22
DFT (PBE-GGA) results for crystalline TaSnMoOs2 at its relaxed geometry.

Properties
- Space-group type: P4/mmm
- Energy of formation: 2572 meV/atom

abc: 4.701 4.701 4.922
angles: 90.00 90.00 90.00
Fractional coordinates of all 5 atoms:
Ta1 0.000 0.000 0.000
Sn1 0.000 0.000 0.500
Mo1 0.500 0.500 0.000
Os1 0.000 0.500 0.500
Os2 0.500 0.000 0.500

=====

Record 23
DFT (PBE-GGA) results for crystalline TaSnMoOs at its relaxed geometry.

Properties
- Space-group type: F-43m
- Energy of formation: 3 meV/atom

abc: 4.575 4.575 4.575
angles: 60.00 60.00 60.00
Fractional coordinates of all 4 atoms:
Ta1 0.000 0.000 0.000
Sn1 0.500 0.500 0.500
Mo1 0.750 0.750 0.750
Os1 0.250 0.250 0.250

=====

Record 24
DFT (PBE-GGA) results for crystalline TiSnMoOs2 at its relaxed geometry.

Properties
- Space-group type: P4/mmm
- Energy of formation: 1679 meV/atom

abc: 4.543 4.543 4.930
angles: 90.00 90.00 90.00
Fractional coordinates of all 5 atoms:
Ti1 0.000 0.000 0.000
Sn1 0.000 0.000 0.500
Mo1 0.500 0.500 0.500
Os1 0.000 0.500 0.000
Os2 0.500 0.000 0.000

=====

Record 25
DFT (PBE-GGA) results for crystalline Sr2MoOs at its relaxed geometry.

Properties
- Energy above the most stable polymorph in this dataset: 184 meV per atom
- Space-group type: Pm
- Energy of formation: 472 meV/atom

abc: 3.366 3.364 9.650
angles: 90.00 90.29 90.00
Fractional coordinates of all 4 atoms:
Sr1 0.000 0.000 0.000
Sr2 0.492 0.500 0.394
Mo1 0.995 0.000 0.650
Os1 0.497 0.500 0.758

=====

Record 26
DFT (PBE-GGA) results for crystalline Sr2MoOs at its relaxed geometry.

Properties
- Energy above the most stable polymorph in this dataset: 240 meV per atom
- Space-group type: Immm
- Energy of formation: 528 meV/atom

abc: 9.446 9.446 9.446
angles: 159.08 156.33 31.80
Fractional coordinates of all 4 atoms:
Sr1 0.147 0.147 0.000
Sr2 0.853 0.853 0.000
Mo1 0.500 0.000 0.500
Os1 0.000 0.500 0.500

=====

Record 27
DFT (PBE-GGA) results for crystalline Sr2MoOs at its relaxed geometry.

Properties
- Energy above the most stable polymorph in this dataset: 0 meV per atom
- Space-group type: R3m
- Energy of formation: 288 meV/atom

abc: 9.042 9.042 9.042
angles: 27.01 27.01 27.01
Fractional coordinates of all 4 atoms:
Sr1 0.000 0.000 0.000
Sr2 0.179 0.179 0.179
Mo1 0.427 0.427 0.427
Os1 0.749 0.749 0.749

=====

Record 28
DFT (PBE-GGA) results for crystalline SrMo3Os at its relaxed geometry.

Properties
- Energy above the most stable polymorph in this dataset: 2117 meV per atom
- Space-group type: Pm-3m
- Energy of formation: 3368 meV/atom

abc: 4.614 4.614 4.614
angles: 90.00 90.00 90.00
Fractional coordinates of all 5 atoms:
Sr1 0.000 0.000 0.000
Mo1 0.000 0.000 0.500
Mo2 0.000 0.500 0.000
Mo3 0.500 0.000 0.000
Os1 0.500 0.500 0.500

=====

Record 29
DFT (PBE-GGA) results for crystalline SrMoOs at its relaxed geometry.

Properties
- Energy above the most stable polymorph in this dataset: 2031 meV per atom
- Space-group type: F-43m
- Energy of formation: 2571 meV/atom

abc: 4.651 4.651 4.651
angles: 60.00 60.00 60.00
Fractional coordinates of all 3 atoms:
Sr1 0.000 0.000 0.000
Mo1 0.750 0.750 0.750
Os1 0.250 0.250 0.250

=====

no.,Fermi-level density of states (states/eV per atom)
1,1.182
2,1.085
3,0.687
4,0.814
5,0.802
6,0.514
7,0.763
8,0.490
9,0.902
10,0.653
11,0.896
12,1.810
13,0.382
14,1.164
15,0.880
16,0.973
17,1.185
18,0.418
19,1.280
20,1.542
21,2.934
22,0.755
23,0.680
24,0.809
25,1.078
26,0.979
27,1.134
28,1.835
29,2.299